# LiLaFe4O12 | the Alexandria database | PBE+U | relaxed
# Spin magnetization: 16.02 μB/f.u.
# E_tot: -108.1 eV/f.u.
data_LiLaFe4O12
_cell_length_a 7.5855
_cell_length_b 7.3760
_cell_length_c 7.5864
_cell_angle_alpha 90.00
_cell_angle_beta 90.00
_cell_angle_gamma 90.00
_symmetry_space_group_name_H-M 'A m m 2'
_symmetry_Int_Tables_number 38
loop_
_symmetry_equiv_pos_as_xyz
'x,y,z'
'-x,-y,z'
'-x,y,z'
'x,-y,z'
'x,y+1/2,z+1/2'
'-x,-y+1/2,z+1/2'
'-x,y+1/2,z+1/2'
'x,-y+1/2,z+1/2'
loop_
_atom_site_label
_atom_site_type_symbol
_atom_site_fract_x
_atom_site_fract_y
_atom_site_fract_z
Li1 Li 0.0000 0.0000 0.0000
La1 La 0.5000 0.0000 0.5083
Fe1 Fe 0.2382 0.2458 0.2582
O1 O 0.0000 0.1557 0.2357
O2 O 0.1872 0.0000 0.7857
O3 O 0.2465 0.2204 0.5097
O4 O 0.3118 0.0000 0.2382
O5 O 0.5000 0.2110 0.7673